Density functional theory data (PBE-GGA) for an optimized crystal structure of TaMn4Te.

The structure belongs to space group F-43m (No. 216); the cell edges are 6.950, 6.950 and 6.950 Å and the angles 90.00°, 90.00° and 90.00°. Symmetry generates all atoms from Ta at (0.000, 0.000, 0.000), Mn at (0.125, 0.125, 0.375) and Te at (0.250, 0.250, 0.750).

The calculation puts the total energy at -202.19 eV/cell. As for the formation energy from raw total energies: 0.19 eV per atom.


Density functional theory data (PBE-GGA) for an optimized crystal structure of TaMnTe2.

The structure belongs to space group F-43m (No. 216); the cell edges are 6.978, 6.978 and 6.978 Å and the angles 90.00°, 90.00° and 90.00°. Symmetry generates all atoms from Ta at (0.000, 0.000, 0.000), Mn at (0.250, 0.250, 0.250), Te at (0.000, 0.000, 0.500) and Te at (0.250, 0.250, 0.750).

The calculation puts the total energy at -97.92 eV/cell. As for the formation energy from raw total energies: 0.71 eV per atom.